(1)
Density functional theory data (PBE-GGA) for a relaxed structure of TaCrRh.

Summary:
VASP energy, hartree per atom: -0.35196
M_tot, μB/atom: 0.964

Cell lengths 4.3637, 4.3637, 2.7967 Å; angles 90.00, 90.00, 120.00 degrees
Last column: nearest neighbours and their distance in Å.
Space group P3m1 (No. 156)
Asymmetric unit:
Ta 0.0000 0.0000 0.0000  3 Rh 2.65, 3 Cr 2.68, 2 Ta 2.80
Cr 0.6667 0.3333 0.3218  3 Ta 2.68, 3 Rh 2.74, 2 Cr 2.80
Rh 0.3333 0.6667 0.7030  3 Ta 2.65, 3 Cr 2.74, 2 Rh 2.80

(2)
Density functional theory data (PBE-GGA) for a relaxed structure of MgTlNiSb2.

Summary:
VASP energy, hartree per atom: -0.08766
M_tot, μB/atom: 0.173
Formation energy (no corrections), kJ/mol of atoms: 117

Cell lengths 5.6959, 5.6959, 5.1388 Å; angles 90.00, 90.00, 90.00 degrees
Last column: nearest neighbours and their distance in Å.
Space group P4/mmm (No. 123)
Asymmetric unit:
Mg 0.0000 0.0000 0.0000  2 Tl 2.57
Tl 0.0000 0.0000 0.5000  2 Mg 2.57, 4 Sb 2.85
Ni 0.5000 0.5000 0.0000  8 Sb 3.84, 4 Mg 4.03
Sb 0.0000 0.5000 0.5000  2 Tl 2.85

(3)
Density functional theory data (PBE-GGA) for a relaxed structure of RbBiIr.

Summary:
VASP energy, hartree per atom: -0.16578
M_tot, μB/atom: 0.000

Cell lengths 14.9774, 4.3498, 6.7797 Å; angles 90.00, 113.30, 90.00 degrees
Last column: nearest neighbours and their distance in Å.
Space group C2/m (No. 12)
Asymmetric unit:
Rb 0.1293 0.0000 0.2984  2 Ir 3.40-3.79
Bi 0.0938 0.5000 0.7614  3 Ir 2.76-2.85
Ir 0.2159 0.0000 0.9051  2 Ir 2.53, 2 Bi 2.76

(4)
Density functional theory data (PBE-GGA) for a relaxed structure of NbGePt.

Summary:
VASP energy, hartree per atom: -0.27194
M_tot, μB/atom: 0.000

Cell lengths 4.3732, 4.3732, 2.9559 Å; angles 90.00, 90.00, 120.00 degrees
Last column: nearest neighbours and their distance in Å.
Space group P-6m2 (No. 187)
Asymmetric unit:
Nb 0.0000 0.0000 0.0000  6 Ge 2.93, 6 Pt 2.93, 2 Nb 2.96
Ge 0.6667 0.3333 0.5000  3 Pt 2.52
Pt 0.3333 0.6667 0.5000  3 Ge 2.52

(5)
Density functional theory data (PBE-GGA) for a relaxed structure of Al7Co6.

Summary:
VASP energy, hartree per atom: -0.19248
M_tot, μB/atom: 0.373

Cell lengths 4.9343, 4.9343, 24.4536 Å; angles 90.00, 90.00, 120.00 degrees
Last column: nearest neighbours and their distance in Å.
Space group R-3m (No. 166, hexagonal axes)
Asymmetric unit:
Al 0.0000 0.0000 0.0000  6 Al 2.54
Al 0.0037 0.5019 0.4188  4 Co 2.43-2.60, 5 Al 2.44-2.54
Co 0.0000 0.0000 0.1668  6 Al 2.43-2.46
Co 0.0000 0.0000 0.3434  4 Co 2.67-2.89, 6 Al 2.73-2.86
Co 0.0000 0.0000 0.4527  1 Co 2.31

(6)
Density functional theory data (PBE-GGA) for a relaxed structure of TbTm3Sc2.

Summary:
VASP energy, hartree per atom: -0.18271
M_tot, μB/atom: 0.000

Cell lengths 22.3479, 3.3652, 9.7872 Å; angles 90.00, 107.97, 90.00 degrees
Last column: nearest neighbours and their distance in Å.
Space group C2/m (No. 12)
Asymmetric unit:
Tb 0.1848 0.0000 0.0439  3 Sc 3.18-3.41, 2 Tb 3.37, 5 Tm 3.38-3.53
Tm 0.0592 0.0000 0.4341  3 Sc 3.20-3.42, 6 Tm 3.28-3.40
Tm 0.0690 0.5000 0.7698  8 Tm 3.37-3.64, 2 Sc 3.51-3.60, 2 Tb 3.53
Tm 0.1967 0.0000 0.7080  3 Sc 3.24-3.30, 5 Tm 3.37-3.52, 3 Tb 3.38-3.43
Sc 0.0707 0.5000 0.1386  5 Sc 3.37-3.47, 2 Tb 3.41, 4 Tm 3.42-3.60
Sc 0.1920 0.0000 0.3736  1 Tb 3.18, 4 Tm 3.20-3.30, 6 Sc 3.37-3.42

(7)
Density functional theory data (PBE-GGA) for a relaxed structure of EuInPd2.

Summary:
VASP energy, hartree per atom: -0.23526
M_tot, μB/atom: 1.717

Cell lengths 4.8563, 4.8563, 3.5066 Å; angles 90.00, 90.00, 90.00 degrees
Last column: nearest neighbours and their distance in Å.
Space group P4/mmm (No. 123)
Asymmetric unit:
Eu 0.0000 0.0000 0.0000  8 Pd 2.99
In 0.5000 0.5000 0.0000  8 Pd 2.99
Pd 0.0000 0.5000 0.5000  4 In 2.99, 4 Eu 2.99

(8)
Density functional theory data (PBE-GGA) for a relaxed structure of BiRuCl2.

Summary:
VASP energy, hartree per atom: -0.13376
M_tot, μB/atom: 0.441
Formation energy (no corrections), kJ/mol of atoms: 55

Cell lengths 6.9369, 6.9369, 6.9369 Å; angles 90.00, 90.00, 90.00 degrees
Last column: nearest neighbours and their distance in Å.
Space group Fm-3m (No. 225)
Asymmetric unit:
Bi 0.0000 0.0000 0.0000  8 Cl 3.00
Ru 0.0000 0.0000 0.5000  8 Cl 3.00
Cl 0.2500 0.2500 0.2500  4 Bi 3.00, 4 Ru 3.00

(9)
Density functional theory data (PBE-GGA) for a relaxed structure of Y2CoOs.

Summary:
VASP energy, hartree per atom: -0.28224
M_tot, μB/atom: 0.290

Cell lengths 3.2580, 3.2580, 8.0570 Å; angles 90.00, 90.00, 90.00 degrees
Last column: nearest neighbours and their distance in Å.
Space group P4mm (No. 99)
Asymmetric unit:
Y 0.0000 0.0000 0.0000  1 Co 2.96, 4 Os 3.04, 4 Y 3.26
Y 0.5000 0.5000 0.3908  1 Os 2.93, 4 Co 3.02, 4 Y 3.26
Co 0.0000 0.0000 0.6331  4 Os 2.50
Os 0.5000 0.5000 0.7541  4 Co 2.50

(10)
Density functional theory data (PBE-GGA) for a relaxed structure of HgPW4.

Summary:
VASP energy, hartree per atom: -0.31614
M_tot, μB/atom: 0.000

Cell lengths 7.5566, 7.5566, 7.5566 Å; angles 90.00, 90.00, 90.00 degrees
Last column: nearest neighbours and their distance in Å.
Space group F-43m (No. 216)
Asymmetric unit:
Hg 0.0000 0.0000 0.0000  12 W 3.13, 4 P 3.27
P 0.2500 0.2500 0.7500  12 W 3.14, 4 Hg 3.27
W 0.1267 0.1267 0.3733  6 W 2.64-2.71

(11)
Density functional theory data (PBE-GGA) for a relaxed structure of CrIrBr2.

Summary:
VASP energy, hartree per atom: -0.16362
M_tot, μB/atom: 0.718
Formation energy (no corrections), kJ/mol of atoms: 97

Cell lengths 6.7305, 6.7305, 6.7305 Å; angles 90.00, 90.00, 90.00 degrees
Last column: nearest neighbours and their distance in Å.
Space group F-43m (No. 216)
Asymmetric unit:
Cr 0.0000 0.0000 0.0000  4 Br 2.91, 4 Ir 2.91
Ir 0.2500 0.2500 0.2500  4 Cr 2.91, 4 Br 2.91
Br 0.0000 0.0000 0.5000  4 Br 2.91, 4 Ir 2.91
Br 0.2500 0.2500 0.7500  4 Cr 2.91, 4 Br 2.91

(12)
Density functional theory data (PBE-GGA) for a relaxed structure of Sm6Rh2CI3.

Summary:
VASP energy, hartree per atom: -0.20415
M_tot, μB/atom: 0.000
Formation energy (no corrections), kJ/mol of atoms: -79

Cell lengths 7.0751, 12.2385, 8.2356 Å; angles 90.00, 106.43, 90.00 degrees
Last column: nearest neighbours and their distance in Å.
Space group C2/m (No. 12)
Asymmetric unit:
Sm 0.2126 0.1552 0.1757  1 C 2.59, 2 Rh 2.80-2.81
Sm 0.2464 0.5000 0.1765  1 C 2.61, 2 Rh 2.81
Rh 0.0000 0.3329 0.0000  6 Sm 2.80-2.81
C 0.0000 0.0000 0.0000  6 Sm 2.59-2.61
I 0.0000 0.1661 0.5000  6 Sm 3.42-3.60
I 0.0000 0.5000 0.5000  6 Sm 3.44-3.57

Which formula does entry 10 have?
HgPW4